(1)
A relaxed structure of SiHg2MoPb, computed with PBE-GGA.

The value obtained for the total magnetic moment is 4.3 μB per formula unit. As for the space-group type: No. 123. The formation energy from raw total energies is 1.129 eV per atom. The calculation puts the total energy at -2.984 eV/atom.

a = 5.009 Å, b = 5.536 Å, c = 5.009 Å
α = 90.00°, β = 90.00°, γ = 90.00°
Atoms (fractional coordinates):
1 Mo 0.500 0.500 0.500
2 Pb 0.000 0.500 0.000
3 Hg 0.000 0.000 0.500
4 Hg 0.500 0.000 0.000
5 Si 0.000 0.000 0.000

=====

(2)
A relaxed structure of FeNiTe2, computed with PBE-GGA.

The value obtained for the total magnetic moment is 2.3 μB per formula unit. As for the excess energy over the best structure of this formula in the dataset: 0.2235 eV per atom. As for the space-group type: No. 44. The formation energy from raw total energies is 0.129 eV per atom. The calculation puts the total energy at -5.003 eV/atom.

a = 7.160 Å, b = 7.160 Å, c = 7.160 Å
α = 152.46°, β = 149.62°, γ = 41.47°
Atoms (fractional coordinates):
1 Ni 0.187 0.687 0.500
2 Fe 0.574 0.574 0.000
3 Te 0.743 0.243 0.500
4 Te 0.996 0.996 0.000

=====

(3)
A relaxed structure of LiLaMg2Co, computed with PBE-GGA.

The value obtained for the total magnetic moment is 0.0 μB per formula unit. As for the space-group type: No. 123. The calculation puts the total energy at -3.409 eV/atom.

a = 5.111 Å, b = 5.111 Å, c = 4.961 Å
α = 90.00°, β = 90.00°, γ = 90.00°
Atoms (fractional coordinates):
1 Li 0.500 0.500 0.500
2 Co 0.000 0.000 0.000
3 Mg 0.500 0.000 0.000
4 Mg 0.000 0.500 0.000
5 La 0.000 0.000 0.500

=====

(4)
A relaxed structure of Na3MgCu, computed with PBE-GGA.

The value obtained for the total magnetic moment is 0.0 μB per formula unit. As for the excess energy over the best structure of this formula in the dataset: 0.0000 eV per atom. As for the space-group type: No. 221. The calculation puts the total energy at -1.577 eV/atom.

a = 5.442 Å, b = 5.442 Å, c = 5.442 Å
α = 90.00°, β = 90.00°, γ = 90.00°
Atoms (fractional coordinates):
1 Na 0.000 0.000 0.500
2 Na 0.000 0.500 0.000
3 Na 0.500 0.000 0.000
4 Mg 0.500 0.500 0.500
5 Cu 0.000 0.000 0.000

=====

(5)
A relaxed structure of LiTl3Pb3, computed with PBE-GGA.

The value obtained for the total magnetic moment is 0.0 μB per formula unit. As for the space-group type: No. 176. The calculation puts the total energy at -2.930 eV/atom.

a = 5.617 Å, b = 9.215 Å, c = 9.215 Å
α = 120.00°, β = 90.00°, γ = 90.00°
Atoms (fractional coordinates):
1 Tl 0.750 0.057 0.813
2 Pb 0.750 0.607 0.510
3 Pb 0.250 0.097 0.607
4 Tl 0.250 0.943 0.187
5 Pb 0.750 0.490 0.097
6 Tl 0.250 0.244 0.057
7 Pb 0.250 0.393 0.490
8 Li 0.250 0.667 0.333
9 Pb 0.250 0.510 0.903
10 Li 0.750 0.333 0.667
11 Tl 0.750 0.756 0.943
12 Tl 0.750 0.187 0.244
13 Tl 0.250 0.813 0.756
14 Pb 0.750 0.903 0.393

=====

(6)
A relaxed structure of GaAgF2, computed with PBE-GGA.

The value obtained for the total magnetic moment is 0.0 μB per formula unit. As for the excess energy over the best structure of this formula in the dataset: 0.0000 eV per atom. As for the space-group type: No. 122. The formation energy from raw total energies is -1.217 eV per atom. The calculation puts the total energy at -3.622 eV/atom.

a = 4.753 Å, b = 4.753 Å, c = 7.470 Å
α = 71.45°, β = 71.45°, γ = 90.00°
Atoms (fractional coordinates):
1 Ag 0.750 0.250 0.500
2 F 0.626 0.125 0.250
3 F 0.124 0.625 0.250
4 Ag 0.000 0.000 0.000
5 F 0.375 0.374 0.750
6 Ga 0.250 0.750 0.500
7 Ga 0.500 0.500 0.000
8 F 0.875 0.876 0.750